Record 1
Tl3Se | PBE-GGA | optimized geometry

Structure (POSCAR):
```
Tl3Se
1.0
6.873 0.000 0.000
0.000 4.108 0.000
-1.346 0.000 9.005
Tl Se
6 2
direct
0.107 0.250 0.333 Tl
0.228 0.250 0.924 Tl
0.377 0.750 0.618 Tl
0.623 0.250 0.382 Tl
0.772 0.750 0.076 Tl
0.893 0.750 0.667 Tl
0.344 0.750 0.180 Se
0.656 0.250 0.820 Se
```

Output
Electronic total energy = -2.870 eV/atom
Energy relative to the elements, uncorrected = -0.22 eV/atom


Record 2
TlSe3 | PBE-GGA | optimized geometry

Structure (POSCAR):
```
TlSe3
1.0
5.782 0.000 0.000
0.000 5.782 0.000
0.000 0.000 2.948
Tl Se
1 3
direct
0.000 0.000 0.000 Tl
0.000 0.500 0.500 Se
0.500 0.000 0.500 Se
0.500 0.500 0.000 Se
```

Output
Electronic total energy = -2.860 eV/atom
Energy relative to the elements, uncorrected = 0.34 eV/atom


Record 3
TlSe3 | PBE-GGA | optimized geometry

Structure (POSCAR):
```
TlSe3
1.0
3.500 0.000 0.000
0.000 3.500 0.000
0.000 0.000 7.717
Tl Se
1 3
direct
0.000 0.000 0.000 Tl
0.000 0.000 0.500 Se
0.500 0.500 0.286 Se
0.500 0.500 0.714 Se
```

Output
Electronic total energy = -2.894 eV/atom
Energy relative to the elements, uncorrected = 0.31 eV/atom


Record 4
TlSe2 | PBE-GGA | optimized geometry

Structure (POSCAR):
```
TlSe2
1.0
4.187 0.000 0.000
-2.094 3.626 0.000
0.000 0.000 5.075
Tl Se
1 2
direct
0.000 0.000 0.000 Tl
0.333 0.667 0.322 Se
0.667 0.333 0.678 Se
```

Output
ΔE to the lowest computed polymorph = 209 meV per atom
Electronic total energy = -3.079 eV/atom
Energy relative to the elements, uncorrected = 0.03 eV/atom